Gd2Hf2O7 | meta-GGA SCAN | PBEsol geometry

Computed properties:
Energy: -29.896 eV/atom

```
Gd2Hf2O7
1.0
7.399 0.000 0.000
3.700 6.408 0.000
3.700 2.136 6.041
O Hf Gd
14 4 4
Direct
0.038 0.038 0.462
0.750 0.750 0.750
0.788 0.788 0.212
0.462 0.038 0.462
0.462 0.038 0.038
0.212 0.788 0.212
0.038 0.462 0.462
0.788 0.212 0.212
0.788 0.212 0.788
0.212 0.788 0.788
0.038 0.462 0.038
0.500 0.500 0.500
0.462 0.462 0.038
0.212 0.212 0.788
0.625 0.125 0.125
0.125 0.625 0.125
0.125 0.125 0.625
0.125 0.125 0.125
0.625 0.625 0.125
0.625 0.625 0.625
0.625 0.125 0.625
0.125 0.625 0.625
```

=====

Gd2HfS5 | meta-GGA SCAN | PBEsol geometry

Computed properties:
Energy: -30.667 eV/atom

```
Gd2HfS5
1.0
-2.964 6.513 -0.461
-4.768 -2.563 -5.539
-7.582 -2.894 7.866
S Hf Gd
20 4 8
Direct
0.339 0.250 0.816
0.834 0.538 0.412
0.683 0.250 0.209
0.161 0.250 0.316
0.166 0.462 0.588
0.552 0.250 0.496
0.183 0.750 0.291
0.839 0.750 0.684
0.166 0.038 0.588
0.317 0.750 0.791
0.334 0.462 0.088
0.948 0.250 0.996
0.661 0.750 0.184
0.052 0.750 0.004
0.334 0.038 0.088
0.448 0.750 0.504
0.666 0.538 0.912
0.834 0.962 0.412
0.817 0.250 0.709
0.666 0.962 0.912
0.076 0.750 0.508
0.576 0.250 0.992
0.924 0.250 0.492
0.424 0.750 0.008
0.032 0.502 0.823
0.532 0.002 0.677
0.968 0.002 0.177
0.532 0.498 0.677
0.968 0.498 0.177
0.468 0.502 0.323
0.032 0.998 0.823
0.468 0.998 0.323
```

=====

GdHg3 | meta-GGA SCAN | PBEsol geometry

Computed properties:
ΔE_f: -0.47 eV/atom

```
GdHg3
1.0
4.908 0.000 0.000
0.000 6.556 0.000
0.000 -3.278 5.678
Hg Gd
6 2
Direct
0.750 0.836 0.164
0.750 0.329 0.164
0.250 0.164 0.836
0.250 0.671 0.836
0.750 0.836 0.671
0.250 0.164 0.329
0.250 0.667 0.333
0.750 0.333 0.667
```